No. 1
Below is a relaxed structure of AlTeRu2, with properties calculated at the GGA-PBE level.

Properties
SG: Cm
Energy relative to the lowest polymorph listed for this composition, meV per atom: 31.2
Final energy, Ry per atom: -0.4755

Structure (extended XYZ):
```
4
Lattice="-4.3055 1.8073 -1.4516 -3.4117 -0.4189 -3.4778 -2.9888 -2.8539 1.8170" Properties=species:S:1:pos:R:3 pbc="T T T"
Ru -7.8797 1.1294 -4.7165
Ru -7.9063 -0.9053 -2.4929
Te -5.5011 -0.8978 -1.4402
Al -2.4892 -0.1361 -0.9485
```

***

No. 2
Below is a relaxed structure of Al2TeRu, with properties calculated at the GGA-PBE level.

Properties
SG: P4mm
Final energy, Ry per atom: -0.3673

Structure (extended XYZ):
```
4
Lattice="-0.4893 -1.8666 -2.8950 -2.4278 -1.8874 1.6273 -4.3602 4.0131 -1.8507" Properties=species:S:1:pos:R:3 pbc="T T T"
Ru -1.7675 1.6268 -0.7502
Te -4.8863 1.2779 -2.0888
Al -0.0843 0.0776 -0.0358
Al -2.7192 -0.7167 -1.1689
```

***

No. 3
Below is a relaxed structure of Al2TeRu, with properties calculated at the GGA-PBE level.

Properties
SG: P4/mmm
Final energy, Ry per atom: -0.3520

Structure (extended XYZ):
```
4
Lattice="-4.1647 -1.4488 0.6965 1.5333 -2.9992 2.9297 -0.3825 2.3551 2.6112" Properties=species:S:1:pos:R:3 pbc="T T T"
Ru -2.2736 0.4532 1.6539
Te 0.5754 -0.3221 2.7704
Al 0.0000 0.0000 0.0000
Al -1.3157 -2.2240 1.8131
```

***

No. 4
Below is a relaxed structure of Al2TeRu, with properties calculated at the GGA-PBE level.

Properties
SG: R-3m
Final energy, Ry per atom: -0.3702

Structure (extended XYZ):
```
4
Lattice="-8.4128 1.6855 -1.3969 -8.6362 -0.7401 0.6597 -8.2201 2.2310 1.7381" Properties=species:S:1:pos:R:3 pbc="T T T"
Ru -6.3173 0.7941 0.2502
Te -18.9518 2.3823 0.7507
Al -24.8564 3.1245 0.9846
Al -13.0472 1.6401 0.5168
```

***

No. 5
Below is a relaxed structure of AlTe2Ru, with properties calculated at the GGA-PBE level.

Properties
SG: Immm
Final energy, Ry per atom: -0.3669

Structure (extended XYZ):
```
4
Lattice="-6.6734 2.9709 -3.9982 -7.8399 -1.6566 -2.2667 6.5719 0.8719 5.0394" Properties=species:S:1:pos:R:3 pbc="T T T"
Ru -4.2623 -0.0638 -0.1799
Te -1.5524 0.1406 -0.6701
Te -5.7043 0.5166 -2.4623
Al -3.6790 2.2500 -1.0456
```

***

No. 6
Below is a relaxed structure of AlTe2Ru, with properties calculated at the GGA-PBE level.

Properties
SG: R3m
Final energy, Ry per atom: -0.3585

Structure (extended XYZ):
```
4
Lattice="9.8875 0.0180 0.0106 9.3123 3.3232 0.0106 9.3123 1.6206 2.9013" Properties=species:S:1:pos:R:3 pbc="T T T"
Ru 21.5568 3.7514 2.2096
Te 0.8383 0.1459 0.0859
Te 6.5051 1.1321 0.6668
Al 13.8678 2.4134 1.4215
```

***

No. 7
Below is a relaxed structure of AlTeRu, with properties calculated at the GGA-PBE level.

Properties
SG: I4mm
Energy relative to the lowest polymorph listed for this composition, meV per atom: 159.1
Final energy, Ry per atom: -0.3962

Structure (extended XYZ):
```
3
Lattice="6.3742 0.0230 -0.0244 5.6158 3.0156 -0.0172 0.7584 0.1850 2.9869" Properties=species:S:1:pos:R:3 pbc="T T T"
Ru 4.6301 1.1687 1.9430
Te 8.5496 2.1645 0.8861
Al 11.5588 2.9290 0.0748
```

***

No. 8
Below is a relaxed structure of AlTeRu2, with properties calculated at the GGA-PBE level.

Properties
SG: I-4m2
Energy relative to the lowest polymorph listed for this composition, meV per atom: 288.5
Final energy, Ry per atom: -0.4566

Structure (extended XYZ):
```
4
Lattice="5.2560 0.0315 0.0000 2.5370 4.6033 0.0000 -3.8965 -2.3174 2.6596" Properties=species:S:1:pos:R:3 pbc="T T T"
Ru 0.0000 0.0000 0.0000
Ru 1.2685 2.3016 1.3298
Te 3.8965 2.3174 0.0000
Al 2.6280 0.0158 1.3298
```

***

No. 9
Below is a relaxed structure of Al2TeRu, with properties calculated at the GGA-PBE level.

Properties
SG: F-43m
Final energy, Ry per atom: -0.3515

Structure (extended XYZ):
```
4
Lattice="-0.2527 -3.5643 -2.9322 2.9617 -3.5275 0.3893 -1.4897 -4.1152 1.4873" Properties=species:S:1:pos:R:3 pbc="T T T"
Ru 0.6097 -5.6035 -0.5278
Te 0.3048 -2.8018 -0.2639
Al 0.0000 0.0000 0.0000
Al 0.9145 -8.4053 -0.7917
```

***

No. 10
Below is a relaxed structure of Al2TlTeRu, with properties calculated at the GGA-PBE level.

Properties
SG: P4/mmm
Final energy, Ry per atom: -0.2558

Structure (extended XYZ):
```
5
Lattice="-4.5949 -1.1483 2.5185 2.4397 -2.8359 3.1582 0.7181 4.2191 3.2339" Properties=species:S:1:pos:R:3 pbc="T T T"
Ru 1.2199 -1.4180 1.5791
Tl -0.7186 0.1174 4.4553
Te 0.0000 0.0000 0.0000
Al 0.3591 2.1096 1.6170
Al -2.2975 -0.5742 1.2592
```

***

No. 11
Below is a relaxed structure of AlZnTeRu2, with properties calculated at the GGA-PBE level.

Properties
SG: P4/mmm
Final energy, Ry per atom: -0.3341

Structure (extended XYZ):
```
5
Lattice="4.5880 0.0000 0.0000 0.0000 4.4642 0.0000 0.0000 0.0000 4.5880" Properties=species:S:1:pos:R:3 pbc="T T T"
Ru 0.0000 0.0000 2.2940
Ru 2.2940 0.0000 0.0000
Zn 0.0000 2.2321 0.0000
Te 2.2940 2.2321 2.2940
Al 0.0000 0.0000 0.0000
```

***

No. 12
Below is a relaxed structure of Th2AlRu2, with properties calculated at the GGA-PBE level.

Properties
SG: C2/c
Final energy, Ry per atom: -0.5887
Energy of formation from the pure elements, eV per atom: -0.583

Structure (extended XYZ):
```
10
Lattice="5.8363 0.3167 0.4037 2.9200 5.0632 0.4037 1.7935 1.1020 7.7814" Properties=species:S:1:pos:R:3 pbc="T T T"
Th 3.7902 1.3510 1.4507
Th 6.7351 3.1603 3.2474
Th 6.7596 5.1310 7.1381
Th 3.8147 3.3216 5.3414
Al 3.7050 4.7908 2.3490
Al 6.8448 1.6911 6.2397
Ru 5.1999 0.9269 4.4304
Ru 8.2698 2.8131 8.0491
Ru 5.3499 5.5550 4.1584
Ru 2.2799 3.6688 0.5397
```